<i>
A plane-wave DFT calculation with PBE was carried out for crystalline CaCo2Mo2 at its relaxed geometry.

a = 7.532 Å, b = 7.532 Å, c = 2.730 Å
α = 90.00°, β = 90.00°, γ = 90.00°
Positions (direct):
Mo1 0.338 0.162 0.500
Mo2 0.838 0.338 0.500
Mo3 0.662 0.838 0.500
Mo4 0.162 0.662 0.500
Ca1 0.000 0.000 0.000
Ca2 0.500 0.500 0.000
Co1 0.623 0.123 0.000
Co2 0.877 0.623 0.000
Co3 0.377 0.877 0.000
Co4 0.123 0.377 0.000



<ii>
A plane-wave DFT calculation with PBE was carried out for crystalline CaCo2Mo2 at its relaxed geometry.

a = 7.661 Å, b = 7.661 Å, c = 2.643 Å
α = 90.00°, β = 90.00°, γ = 90.00°
Positions (direct):
Mo1 0.622 0.122 0.000
Mo2 0.378 0.878 0.000
Mo3 0.122 0.378 0.000
Mo4 0.878 0.622 0.000
Ca1 0.000 0.000 0.000
Ca2 0.500 0.500 0.000
Co1 0.169 0.669 0.500
Co2 0.831 0.331 0.500
Co3 0.331 0.169 0.500
Co4 0.669 0.831 0.500



Relative energies, unit eV/atom: <i> 0.096; <ii> 0.000



<i>
A plane-wave DFT calculation with PBE was carried out for crystalline CaCoS2N at its relaxed geometry.

a = 4.818 Å, b = 4.818 Å, c = 3.450 Å
α = 90.00°, β = 90.00°, γ = 90.00°
Positions (direct):
Co1 0.000 0.000 0.000
N1 0.000 0.000 0.500
Ca1 0.500 0.500 0.500
S1 0.000 0.500 0.000
S2 0.500 0.000 0.000



<ii>
A plane-wave DFT calculation with PBE was carried out for crystalline CaCoS2N at its relaxed geometry.

a = 5.268 Å, b = 5.268 Å, c = 4.457 Å
α = 90.00°, β = 90.00°, γ = 90.00°
Last column: magnetic moment on the atom in μB.
Positions (direct):
Co1 0.500 0.500 0.500  2.35
Ca1 0.000 0.000 0.000  0.04
S1 0.000 0.500 0.000  0.41
S2 0.500 0.000 0.000  0.41
N1 0.000 0.000 0.500  1.46



Relative energies, unit eV/atom: <i> 0.000; <ii> 1.641



<i>
A plane-wave DFT calculation with PBE was carried out for crystalline CaCoSeN2 at its relaxed geometry.

a = 3.820 Å, b = 3.820 Å, c = 5.057 Å
α = 90.00°, β = 90.00°, γ = 90.00°
Last column: magnetic moment on the atom in μB.
Positions (direct):
Ca1 0.500 0.500 0.500  0.00
N1 0.500 0.000 0.000  0.28
N2 0.000 0.500 0.000  0.28
Co1 0.000 0.000 0.000  0.68
Se1 0.000 0.000 0.500  0.01



<ii>
A plane-wave DFT calculation with PBE was carried out for crystalline CaCoSeN2 at its relaxed geometry.

a = 4.427 Å, b = 4.427 Å, c = 5.863 Å
α = 90.00°, β = 90.00°, γ = 90.00°
Last column: magnetic moment on the atom in μB.
Positions (direct):
N1 0.000 0.500 0.000  1.37
N2 0.500 0.000 0.000  1.37
Ca1 0.000 0.000 0.000  0.06
Co1 0.500 0.500 0.500  -2.26
Se1 0.000 0.000 0.500  0.10



Relative energies, unit eV/atom: <i> 0.000; <ii> 1.405